(1)
An optimized crystal structure of La3BiOs. Source: the Alexandria database, functional GGA-PBE.

abc: 8.760 4.594 15.767
angles: 90.00 90.00 90.00
Space group Pnma (No. 62)
Asymmetric unit:
La1 0.023 0.250 0.104 x4
La2 0.150 0.250 0.504 x4
La3 0.194 0.750 0.291 x4
Bi1 0.090 0.750 0.676 x4
Os1 0.174 0.250 0.939 x4

Calculated values
ρ, g/cm³: 8.54
V, Å³ per cell: 634.56

---

(2)
An optimized crystal structure of La3BiOs. Source: the Alexandria database, functional GGA-PBE.

abc: 8.472 4.598 8.820
angles: 90.00 115.07 90.00
Space group P2_1/m (No. 11)
Asymmetric unit:
La1 0.037 0.250 0.238 x2
La2 0.329 0.250 0.896 x2
La3 0.349 0.750 0.586 x2
Bi1 0.308 0.750 0.181 x2
Os1 0.087 0.250 0.565 x2

Calculated values
ρ, g/cm³: 8.71
V, Å³ per cell: 311.20

---

(3)
An optimized crystal structure of La3BiOs. Source: the Alexandria database, functional GGA-PBE.

abc: 5.565 5.565 5.565
angles: 90.00 90.00 90.00
Space group Pm-3m (No. 221)
Asymmetric unit:
La1 0.000 0.000 0.500 x3
Bi1 0.500 0.500 0.500 x1
Os1 0.000 0.000 0.000 x1

Calculated values
ρ, g/cm³: 7.86
V, Å³ per cell: 172.31

---

The winner here is (1), beating the second structure by 97 meV/atom.

---

(1)
An optimized crystal structure of LaBiOs3. Source: the Alexandria database, functional GGA-PBE.

abc: 4.993 4.993 4.993
angles: 90.00 90.00 90.00
Space group Pm-3m (No. 221)
Asymmetric unit:
La1 0.000 0.000 0.000 x1
Bi1 0.500 0.500 0.500 x1
Os1 0.000 0.500 0.500 x3

Calculated values
ρ, g/cm³: 12.25
V, Å³ per cell: 124.48

---

(2)
An optimized crystal structure of LaBiOs3. Source: the Alexandria database, functional GGA-PBE.

abc: 4.927 4.927 4.927
angles: 90.00 90.00 90.00
Space group Pm-3m (No. 221)
Asymmetric unit:
La1 0.000 0.000 0.000 x1
Bi1 0.500 0.500 0.500 x1
Os1 0.000 0.000 0.500 x3

Calculated values
ρ, g/cm³: 12.76
V, Å³ per cell: 119.58

---

The winner here is (1), beating the second structure by 668 meV/atom.

---

(1)
An optimized crystal structure of La2Bi2P. Source: the Alexandria database, functional GGA-PBE.

abc: 6.294 6.294 8.937
angles: 90.00 90.00 90.00
Space group I4/mmm (No. 139)
Asymmetric unit:
La1 0.000 0.500 0.250 x4
Bi1 0.000 0.000 0.176 x4
P1 0.000 0.000 0.500 x2

Calculated values
ρ, g/cm³: 6.82
V, Å³ per cell: 354.03

---

(2)
An optimized crystal structure of La2Bi2P. Source: the Alexandria database, functional GGA-PBE.

abc: 8.006 8.006 5.045
angles: 90.00 90.00 90.00
Space group P4/mbm (No. 127)
Asymmetric unit:
La1 0.179 0.321 0.000 x4
Bi1 0.132 0.632 0.500 x4
P1 0.000 0.000 0.000 x2

Calculated values
ρ, g/cm³: 7.46
V, Å³ per cell: 323.32

---

(3)
An optimized crystal structure of La2Bi2P. Source: the Alexandria database, functional GGA-PBE.

abc: 8.266 8.266 4.576
angles: 90.00 90.00 90.00
Space group P4/mbm (No. 127)
Asymmetric unit:
La1 0.158 0.342 0.000 x4
Bi1 0.154 0.654 0.500 x4
P1 0.000 0.000 0.500 x2

Calculated values
ρ, g/cm³: 7.72
V, Å³ per cell: 312.64

---

(4)
An optimized crystal structure of La2Bi2P. Source: the Alexandria database, functional GGA-PBE.

abc: 4.307 4.307 17.057
angles: 90.00 90.00 90.00
Space group I4/mmm (No. 139)
Asymmetric unit:
La1 0.000 0.000 0.096 x4
Bi1 0.000 0.500 0.250 x4
P1 0.000 0.000 0.500 x2

Calculated values
ρ, g/cm³: 7.63
V, Å³ per cell: 316.41

---

The winner here is (2), beating the second structure by 149 meV/atom.